1.
AlOs2: relaxed, GGA-PBE.

Structure (POSCAR):
```
AlOs2
1.0
1.4024 4.8963 -0.0022
-1.4024 4.8963 -0.0022
0.0000 1.3342 6.2494
Al Os
2 4
Cartesian
0.0000 9.7765 0.0628 Al
0.0000 7.5180 4.0517 Al
0.0000 3.6507 2.0900 Os
0.0000 4.8451 4.5532 Os
0.0000 0.9862 2.4588 Os
0.0000 7.1242 0.3103 Os
```

Symmetry: No. 8
Total moment: 0.00 μB/f.u.

2.
AlOs4: relaxed, GGA-PBE.

Structure (POSCAR):
```
AlOs4
1.0
-2.7602 2.7602 2.7602
2.7602 -2.7602 2.7602
2.7602 2.7602 -2.7602
Al Os
1 4
Cartesian
0.0000 0.0000 0.0000 Al
1.3801 -1.3801 1.3801 Os
1.3801 1.3801 -1.3801 Os
1.3801 1.3801 1.3801 Os
-1.3801 1.3801 1.3801 Os
```

Symmetry: No. 229
Total moment: 0.00 μB/f.u.
E above lowest polymorph: 1.415 eV per atom

3.
Al2Os: relaxed, GGA-PBE.

Structure (POSCAR):
```
Al2Os
1.0
-2.2412 -0.8012 -2.1083
-1.9041 -0.9208 2.3741
0.4886 4.7084 0.0889
Os Al
1 2
Cartesian
0.0000 0.0000 0.0000 Os
-1.0715 2.6024 0.1500 Al
-2.5853 0.3841 0.2047 Al
```

Symmetry: No. 139
Total moment: 0.00 μB/f.u.

4.
Al3Os: relaxed, GGA-PBE.

Structure (POSCAR):
```
Al3Os
1.0
2.8144 0.0048 0.0000
-1.1262 2.5793 0.0000
0.0000 0.0000 8.5432
Os Al
1 3
Cartesian
0.8441 1.2920 2.1358 Os
0.0000 0.0000 0.1502 Al
0.8441 1.2920 6.4074 Al
0.0000 0.0000 4.1214 Al
```

Symmetry: No. 65
Total moment: 0.00 μB/f.u.

5.
AlOs2: relaxed, GGA-PBE.

Structure (POSCAR):
```
AlOs2
1.0
1.9163 -5.7146 0.0000
1.9163 5.7146 0.0000
0.0000 0.0000 3.9144
Al Os
2 4
Cartesian
1.9163 4.6985 0.9786 Al
1.9163 -4.6985 2.9358 Al
1.9163 0.9013 0.9786 Os
1.9163 -0.9013 2.9358 Os
1.9163 -2.9500 0.9786 Os
1.9163 2.9500 2.9358 Os
```

Symmetry: No. 63
Total moment: 0.00 μB/f.u.

6.
AlOs2: relaxed, GGA-PBE.

Structure (POSCAR):
```
AlOs2
1.0
1.4943 -10.1223 4.6337
3.6364 -7.8656 7.1467
-4.1891 9.2731 -4.7568
Al Os
2 4
Cartesian
0.0000 0.0000 0.0000 Al
-0.0647 -4.9216 2.8836 Al
2.9596 -10.3760 6.7953 Os
0.6121 -2.4111 3.2349 Os
2.1711 -7.6119 4.9850 Os
1.4005 -5.1753 5.0452 Os
```

Symmetry: No. 141
Total moment: 0.00 μB/f.u.

no.,E (eV/atom)
1,-8.852
2,-8.253
3,-6.800
4,-5.593
5,-8.749
6,-8.544